DFT (PBE-GGA) results for Li2CePmHg4 after structural relaxation.

Values from the calculation:
Energy of formation = -0.40 eV/atom
E = -56.830 eV for the cell shown

Cell and atoms, written as CIF:
```
data_Li2CePmHg4
_symmetry_space_group_name_H-M 'R -3 m'
_symmetry_Int_Tables_number 166
_symmetry_space_group_name_Hall '-R 3 2"'
_cell_length_a 5.1385
_cell_length_b 5.1385
_cell_length_c 25.1426
_cell_angle_alpha 90.00
_cell_angle_beta 90.00
_cell_angle_gamma 120.00
loop_
_atom_site_label
_atom_site_type_symbol
_atom_site_fract_x
_atom_site_fract_y
_atom_site_fract_z
Li1 Li 0.0000 0.0000 0.2500
Ce1 Ce 0.0000 0.0000 0.0000
Pm1 Pm 0.0000 0.0000 0.5000
Hg1 Hg 0.0000 0.0000 0.1253
Hg2 Hg 0.0000 0.0000 0.3752
```